# 1
{"formula": "Pr8In2Ge", "functional": "PBE", "state": "optimized geometry", "cell": [[-3.7299, 0.9793, -3.7100], [3.1365, -4.5591, -4.3568], [-4.6111, -5.6606, 7.0008]], "species": ["Pr", "Pr", "Pr", "Pr", "Pr", "Pr", "Pr", "Pr", "Ge", "In", "In"], "frac_coords": [[0.6531, 0.9818, 0.3063], [0.7874, 0.6924, 0.5748], [0.0084, 0.7710, 0.0167], [0.2126, 0.3076, 0.4252], [0.5912, 0.4603, 0.1823], [0.3469, 0.0182, 0.6937], [0.4088, 0.5397, 0.8177], [0.9916, 0.2290, 0.9833], [0.5000, 0.0000, 0.0000], [0.8241, 0.2611, 0.6482], [0.1759, 0.7389, 0.3518]], "total_energy_ev_per_fu": -51.65, "rho_g_cm3": 6.7, "m_tot_mub_per_cell": 0.00, "formation_enthalpy_0k_kj_per_mol_fu": -320}

=====

# 2
{"formula": "Pr4InGe", "functional": "PBE", "state": "optimized geometry", "cell": [[-4.7929, -2.4170, 3.0135], [7.2661, -0.0980, 5.3882], [-2.9495, 7.6799, -1.7741]], "species": ["Pr", "Pr", "Pr", "Pr", "Pr", "Pr", "Pr", "Pr", "In", "In", "Ge", "Ge"], "frac_coords": [[0.6361, 0.0679, 0.3622], [0.7263, 0.3720, 0.1575], [0.9312, 0.7854, 0.1575], [0.2737, 0.6280, 0.8425], [0.3639, 0.9321, 0.6378], [0.0688, 0.2146, 0.8425], [0.7738, 0.7056, 0.6378], [0.2262, 0.2944, 0.3622], [0.6292, 0.3792, 0.7584], [0.3708, 0.6208, 0.2416], [0.7484, 0.9984, 0.9967], [0.2516, 0.0016, 0.0033]], "de_polymorph_ev_per_fu": 0.12, "total_energy_ev_per_fu": -29.03, "rho_g_cm3": 6.7, "m_tot_mub_per_cell": 0.00, "formation_enthalpy_0k_kj_per_mol_fu": -247}